## Nb3Re3B4 (GGA-PBE)

Data for a relaxed Nb3Re3B4 crystal.

Properties
ΔE_f: -0.356 eV/atom
N(E_F): 11.169 states/eV per cell
theoretical density: 11.91 g/cm³

The structure in CIF format:
```
data_Nb3Re3B4
_symmetry_space_group_name_H-M 'A m m 2'
_symmetry_Int_Tables_number 38
_symmetry_space_group_name_Hall 'A 2 -2'
_cell_length_a 3.104
_cell_length_b 8.184
_cell_length_c 9.669
_cell_angle_alpha 90.00
_cell_angle_beta 90.00
_cell_angle_gamma 90.00
loop_
_atom_site_label
_atom_site_fract_x
_atom_site_fract_y
_atom_site_fract_z
Nb1 0.000 0.000 0.000
Nb2 0.500 0.203 0.551
Re1 0.000 0.000 0.706
Re2 0.000 0.174 0.290
B1 0.500 0.000 0.188
B2 0.500 0.000 0.379
B3 0.500 0.122 0.835
```

## SrZrZn2 (GGA-PBE)

Data for a relaxed SrZrZn2 crystal.

Properties
ΔE_f: 0.238 eV/atom
N(E_F): 5.586 states/eV per cell
theoretical density: 5.18 g/cm³

The structure in CIF format:
```
data_SrZrZn2
_symmetry_space_group_name_H-M 'R 3 m'
_symmetry_Int_Tables_number 160
_symmetry_space_group_name_Hall 'R 3 -2"'
_cell_length_a 3.5438
_cell_length_b 3.5438
_cell_length_c 27.3763
_cell_angle_alpha 90.00
_cell_angle_beta 90.00
_cell_angle_gamma 120.00
loop_
_atom_site_label
_atom_site_fract_x
_atom_site_fract_y
_atom_site_fract_z
Sr1 0.0000 0.0000 0.0000
Zr1 0.0000 0.0000 0.7773
Zn1 0.0000 0.0000 0.2418
Zn2 0.0000 0.0000 0.5176
```

## NdSm2HoBi4 (GGA-PBE)

Data for a relaxed NdSm2HoBi4 crystal.

Properties
ΔE_f: -0.905 eV/atom
N(E_F): 1.198 states/eV per cell
theoretical density: 9.02 g/cm³

The structure in CIF format:
```
data_NdSm2HoBi4
_symmetry_space_group_name_H-M 'P 1 2/m 1'
_symmetry_Int_Tables_number 10
_symmetry_space_group_name_Hall '-P 2y'
_cell_length_a 7.876
_cell_length_b 4.551
_cell_length_c 7.877
_cell_angle_alpha 90.00
_cell_angle_beta 109.48
_cell_angle_gamma 90.00
loop_
_atom_site_label
_atom_site_fract_x
_atom_site_fract_y
_atom_site_fract_z
Nd1 0.000 0.000 0.000
Sm1 0.000 0.500 0.500
Sm2 0.500 0.000 0.500
Ho1 0.500 0.500 0.000
Bi1 0.254 0.500 0.250
Bi2 0.256 0.000 0.753
```

## CoGeC3 (GGA-PBE)

Data for a relaxed CoGeC3 crystal.

Properties
ΔE_f: 2.138 eV/atom
offset from the most stable computed form: 0 meV per atom
N(E_F): 3.756 states/eV per cell
theoretical density: 5.09 g/cm³

The structure in CIF format:
```
data_CoGeC3
_symmetry_space_group_name_H-M 'P m -3 m'
_symmetry_Int_Tables_number 221
_symmetry_space_group_name_Hall '-P 4 2 3'
_cell_length_a 3.795
_cell_length_b 3.795
_cell_length_c 3.795
_cell_angle_alpha 90.00
_cell_angle_beta 90.00
_cell_angle_gamma 90.00
loop_
_atom_site_label
_atom_site_fract_x
_atom_site_fract_y
_atom_site_fract_z
Co1 0.000 0.000 0.000
Ge1 0.500 0.500 0.500
C1 0.000 0.000 0.500
```

## Pm8NiAg2 (GGA-PBE)

Data for a relaxed Pm8NiAg2 crystal.

Properties
ΔE_f: -0.105 eV/atom
offset from the most stable computed form: 0 meV per atom
N(E_F): 24.628 states/eV per cell
theoretical density: 7.48 g/cm³

The structure in CIF format:
```
data_Pm8NiAg2
_symmetry_space_group_name_H-M 'C 1 2/m 1'
_symmetry_Int_Tables_number 12
_symmetry_space_group_name_Hall '-C 2y'
_cell_length_a 17.902
_cell_length_b 5.251
_cell_length_c 6.948
_cell_angle_alpha 90.00
_cell_angle_beta 102.93
_cell_angle_gamma 90.00
loop_
_atom_site_label
_atom_site_fract_x
_atom_site_fract_y
_atom_site_fract_z
Pm1 0.025 0.000 0.281
Pm2 0.088 0.500 0.942
Pm3 0.156 0.500 0.470
Pm4 0.201 0.000 0.820
Ni1 0.000 0.500 0.500
Ag1 0.190 0.000 0.240
```

## ErNi3H3 (GGA-PBE)

Data for a relaxed ErNi3H3 crystal.

Properties
total energy: -30.63 eV/f.u.
N(E_F): 36.635 states/eV per cell
theoretical density: 7.51 g/cm³

The structure in CIF format:
```
data_ErNi3H3
_symmetry_space_group_name_H-M 'F m -3 m'
_symmetry_Int_Tables_number 225
_symmetry_space_group_name_Hall '-F 4 2 3'
_cell_length_a 8.494
_cell_length_b 8.494
_cell_length_c 8.494
_cell_angle_alpha 90.00
_cell_angle_beta 90.00
_cell_angle_gamma 90.00
loop_
_atom_site_label
_atom_site_fract_x
_atom_site_fract_y
_atom_site_fract_z
Er1 0.250 0.250 0.250
Ni1 0.000 0.000 0.198
H1 0.000 0.000 0.370
```

## TcP2Se (GGA-PBE)

Data for a relaxed TcP2Se crystal.

Properties
uncorrected formation energy: -0.060 eV per atom
N(E_F): 4.051 states/eV per cell
theoretical density: 4.77 g/cm³

The structure in CIF format:
```
data_TcP2Se
_symmetry_space_group_name_H-M 'C 1 m 1'
_symmetry_Int_Tables_number 8
_symmetry_space_group_name_Hall 'C -2y'
_cell_length_a 7.638
_cell_length_b 3.190
_cell_length_c 6.884
_cell_angle_alpha 90.00
_cell_angle_beta 96.97
_cell_angle_gamma 90.00
loop_
_atom_site_label
_atom_site_fract_x
_atom_site_fract_y
_atom_site_fract_z
Tc1 0.000 0.000 0.000
P1 0.280 0.000 0.897
P2 0.471 0.000 0.708
Se1 0.230 0.500 0.234
```

## PaPdAu11 (GGA-PBE)

Data for a relaxed PaPdAu11 crystal.

Properties
ΔE_f: -0.079 eV/atom
N(E_F): 20.373 states/eV per cell
theoretical density: 16.52 g/cm³

The structure in CIF format:
```
data_PaPdAu11
_symmetry_space_group_name_H-M 'C 1 2/m 1'
_symmetry_Int_Tables_number 12
_symmetry_space_group_name_Hall '-C 2y'
_cell_length_a 5.567
_cell_length_b 13.787
_cell_length_c 7.065
_cell_angle_alpha 90.00
_cell_angle_beta 111.83
_cell_angle_gamma 90.00
loop_
_atom_site_label
_atom_site_fract_x
_atom_site_fract_y
_atom_site_fract_z
Pa1 0.000 0.000 0.000
Pd1 0.000 0.000 0.500
Au1 0.000 0.500 0.500
Au2 0.110 0.395 0.212
Au3 0.164 0.168 0.348
Au4 0.250 0.250 0.000
```

## CrReSi2Ir (GGA-PBE)

Data for a relaxed CrReSi2Ir crystal.

Properties
uncorrected formation energy: 1.616 eV per atom
N(E_F): 8.756 states/eV per cell
theoretical density: 8.22 g/cm³

The structure in CIF format:
```
data_CrReSi2Ir
_symmetry_space_group_name_H-M 'P 4/m m m'
_symmetry_Int_Tables_number 123
_symmetry_space_group_name_Hall '-P 4 2'
_cell_length_a 4.466
_cell_length_b 4.466
_cell_length_c 4.928
_cell_angle_alpha 90.00
_cell_angle_beta 90.00
_cell_angle_gamma 90.00
loop_
_atom_site_label
_atom_site_fract_x
_atom_site_fract_y
_atom_site_fract_z
Cr1 0.000 0.000 0.000
Re1 0.500 0.500 0.000
Si1 0.000 0.500 0.500
Ir1 0.500 0.500 0.500
```

## Hg3Pb2Au (GGA-PBE)

Data for a relaxed Hg3Pb2Au crystal.

Properties
ΔE_f: 0.038 eV/atom
N(E_F): 6.558 states/eV per cell
theoretical density: 12.59 g/cm³

The structure in CIF format:
```
data_Hg3Pb2Au
_symmetry_space_group_name_H-M 'C m c m'
_symmetry_Int_Tables_number 63
_symmetry_space_group_name_Hall '-C 2c 2'
_cell_length_a 15.290
_cell_length_b 5.904
_cell_length_c 7.088
_cell_angle_alpha 90.00
_cell_angle_beta 90.00
_cell_angle_gamma 90.00
loop_
_atom_site_label
_atom_site_fract_x
_atom_site_fract_y
_atom_site_fract_z
Hg1 0.000 0.193 0.250
Hg2 0.179 0.011 0.750
Pb1 0.142 0.500 0.000
Au1 0.000 0.286 0.750
```

## ScFe (GGA-PBE)

Data for a relaxed ScFe crystal.

Properties
ΔE_f: -0.081 eV/atom
N(E_F): 16.310 states/eV per cell
theoretical density: 5.01 g/cm³

The structure in CIF format:
```
data_ScFe
_symmetry_space_group_name_H-M 'P 21 21 21'
_symmetry_Int_Tables_number 19
_symmetry_space_group_name_Hall 'P 2ac 2ab'
_cell_length_a 5.090
_cell_length_b 5.305
_cell_length_c 9.900
_cell_angle_alpha 90.00
_cell_angle_beta 90.00
_cell_angle_gamma 90.00
loop_
_atom_site_label
_atom_site_fract_x
_atom_site_fract_y
_atom_site_fract_z
Sc1 0.114 0.084 0.480
Sc2 0.134 0.652 0.694
Fe1 0.109 0.596 0.417
Fe2 0.128 0.841 0.225
```

## ZrInBr (GGA-PBE)

Data for a relaxed ZrInBr crystal.

Properties
offset from the most stable computed form: 809 meV per atom
uncorrected formation energy: 0.265 eV per atom
N(E_F): 12.775 states/eV per cell
theoretical density: 5.74 g/cm³

The structure in CIF format:
```
data_ZrInBr
_symmetry_space_group_name_H-M 'F -4 3 m'
_symmetry_Int_Tables_number 216
_symmetry_space_group_name_Hall 'F -4 2 3'
_cell_length_a 6.915
_cell_length_b 6.915
_cell_length_c 6.915
_cell_angle_alpha 90.00
_cell_angle_beta 90.00
_cell_angle_gamma 90.00
loop_
_atom_site_label
_atom_site_fract_x
_atom_site_fract_y
_atom_site_fract_z
Zr1 0.000 0.000 0.000
In1 0.250 0.250 0.250
Br1 0.250 0.250 0.750
```

## KLiTl2Pd (GGA-PBE)

Data for a relaxed KLiTl2Pd crystal.

Properties
ΔE_f: -0.151 eV/atom
N(E_F): 2.821 states/eV per cell
theoretical density: 6.29 g/cm³

The structure in CIF format:
```
data_KLiTl2Pd
_symmetry_space_group_name_H-M 'P 4/m m m'
_symmetry_Int_Tables_number 123
_symmetry_space_group_name_Hall '-P 4 2'
_cell_length_a 5.360
_cell_length_b 5.360
_cell_length_c 5.158
_cell_angle_alpha 90.00
_cell_angle_beta 90.00
_cell_angle_gamma 90.00
loop_
_atom_site_label
_atom_site_fract_x
_atom_site_fract_y
_atom_site_fract_z
K1 0.000 0.000 0.000
Li1 0.500 0.500 0.000
Tl1 0.000 0.500 0.500
Pd1 0.500 0.500 0.500
```